Entry 1:
This record from Alexandria via LeMat-Bulk describes crystalline PrCd2Ag9 at its relaxed geometry. The functional is PBE-GGA.

Computed properties:
Calculated formation energy: -0.05 eV per atom

a = 5.6518 Å, b = 5.6518 Å, c = 26.9913 Å
α = 90.00°, β = 90.00°, γ = 120.00°
Space group R-3m (No. 166, hexagonal axes)
Symmetry-distinct sites (fractional):
Pr: 0.0000 0.0000 0.0000 (multiplicity 3)
Cd: 0.0000 0.0000 0.1429 (multiplicity 6)
Ag: 0.0000 0.0000 0.3338 (multiplicity 6)
Ag: 0.0000 0.0000 0.5000 (multiplicity 3)
Ag: 0.0051 0.5025 0.9142 (multiplicity 18)

Entry 2:
This record from Alexandria via LeMat-Bulk describes crystalline Pr3CdAg2 at its relaxed geometry. The functional is PBE-GGA.

Computed properties:
Calculated formation energy: -0.27 eV per atom

a = 3.832 Å, b = 3.832 Å, c = 11.344 Å
α = 90.00°, β = 90.00°, γ = 90.00°
Space group P4/mmm (No. 123)
Symmetry-distinct sites (fractional):
Pr: 0.000 0.000 0.000 (multiplicity 1)
Pr: 0.000 0.000 0.328 (multiplicity 2)
Cd: 0.500 0.500 0.500 (multiplicity 1)
Ag: 0.500 0.500 0.164 (multiplicity 2)

Entry 3:
This record from Alexandria via LeMat-Bulk describes crystalline Pr2Cd3Ag3 at its relaxed geometry. The functional is PBE-GGA.

Computed properties:
Calculated formation energy: -0.28 eV per atom

a = 5.1100 Å, b = 5.1100 Å, c = 24.8918 Å
α = 90.00°, β = 90.00°, γ = 120.00°
Space group R3m (No. 160, hexagonal axes)
Symmetry-distinct sites (fractional):
Pr: 0.0000 0.0000 0.0000 (multiplicity 3)
Pr: 0.0000 0.0000 0.4954 (multiplicity 3)
Cd: 0.0000 0.0000 0.2464 (multiplicity 3)
Cd: 0.0000 0.0000 0.6219 (multiplicity 3)
Cd: 0.0000 0.0000 0.7492 (multiplicity 3)
Ag: 0.0000 0.0000 0.1251 (multiplicity 3)
Ag: 0.0000 0.0000 0.3700 (multiplicity 3)
Ag: 0.0000 0.0000 0.8736 (multiplicity 3)

Entry 4:
This record from Alexandria via LeMat-Bulk describes crystalline PrCd3Ag8 at its relaxed geometry. The functional is PBE-GGA.

Computed properties:
Calculated formation energy: -0.06 eV per atom

a = 5.6566 Å, b = 5.6566 Å, c = 8.9657 Å
α = 90.00°, β = 90.00°, γ = 120.00°
Space group P3m1 (No. 156)
Symmetry-distinct sites (fractional):
Pr: 0.0000 0.0000 0.0000 (multiplicity 1)
Cd: 0.0000 0.0000 0.3879 (multiplicity 1)
Cd: 0.6667 0.3333 0.4942 (multiplicity 1)
Cd: 0.6667 0.3333 0.8599 (multiplicity 1)
Ag: 0.1637 0.3275 0.6821 (multiplicity 3)
Ag: 0.3333 0.6667 0.4345 (multiplicity 1)
Ag: 0.3333 0.6667 0.9360 (multiplicity 1)
Ag: 0.5042 0.0084 0.1904 (multiplicity 3)

Entry 5:
This record from Alexandria via LeMat-Bulk describes crystalline Pr2CdAg4 at its relaxed geometry. The functional is PBE-GGA.

Computed properties:
Calculated formation energy: -0.22 eV per atom

a = 9.105 Å, b = 5.280 Å, c = 8.270 Å
α = 90.00°, β = 122.18°, γ = 90.00°
Space group C2/m (No. 12)
Symmetry-distinct sites (fractional):
Pr: 0.066 0.000 0.284 (multiplicity 4)
Cd: 0.000 0.500 0.500 (multiplicity 2)
Ag: 0.181 0.500 0.898 (multiplicity 4)
Ag: 0.214 0.500 0.254 (multiplicity 4)

Entry 6:
This record from Alexandria via LeMat-Bulk describes crystalline Pr2Cd5Ag3 at its relaxed geometry. The functional is PBE-GGA.

Computed properties:
Energy relative to the lowest polymorph listed for this composition: 36 meV/atom
Calculated formation energy: -0.20 eV per atom

a = 12.178 Å, b = 13.093 Å, c = 6.113 Å
α = 90.00°, β = 90.00°, γ = 90.00°
Space group Ibam (No. 72)
Symmetry-distinct sites (fractional):
Pr: 0.128 0.242 0.000 (multiplicity 8)
Cd: 0.000 0.000 0.250 (multiplicity 4)
Cd: 0.115 0.355 0.500 (multiplicity 8)
Cd: 0.248 0.500 0.250 (multiplicity 8)
Ag: 0.000 0.500 0.250 (multiplicity 4)
Ag: 0.126 0.146 0.500 (multiplicity 8)

Entry 7:
This record from Alexandria via LeMat-Bulk describes crystalline PrCdAg at its relaxed geometry. The functional is PBE-GGA.

Computed properties:
Calculated formation energy: -0.22 eV per atom

a = 3.828 Å, b = 3.828 Å, c = 10.319 Å
α = 90.00°, β = 90.00°, γ = 90.00°
Space group I4mm (No. 107)
Symmetry-distinct sites (fractional):
Pr: 0.000 0.000 0.000 (multiplicity 2)
Cd: 0.000 0.000 0.316 (multiplicity 2)
Ag: 0.000 0.000 0.681 (multiplicity 2)

Entry 8:
This record from Alexandria via LeMat-Bulk describes crystalline Pr3Cd2Ag2 at its relaxed geometry. The functional is PBE-GGA.

Computed properties:
Calculated formation energy: -0.25 eV per atom

a = 5.167 Å, b = 5.991 Å, c = 6.828 Å
α = 81.53°, β = 89.93°, γ = 64.46°
Space group P-1 (No. 2)
Symmetry-distinct sites (fractional):
Pr: 0.000 0.000 0.000 (multiplicity 1)
Pr: 0.371 0.256 0.291 (multiplicity 2)
Cd: 0.323 0.353 0.790 (multiplicity 2)
Ag: 0.118 0.766 0.442 (multiplicity 2)

Entry 9:
This record from Alexandria via LeMat-Bulk describes crystalline Pr11Cd9Ag4 at its relaxed geometry. The functional is PBE-GGA.

Computed properties:
Calculated formation energy: -0.30 eV per atom

a = 15.259 Å, b = 22.946 Å, c = 3.827 Å
α = 90.00°, β = 90.00°, γ = 90.00°
Space group Cmmm (No. 65)
Symmetry-distinct sites (fractional):
Pr: 0.000 0.000 0.000 (multiplicity 2)
Pr: 0.000 0.165 0.000 (multiplicity 4)
Pr: 0.000 0.366 0.000 (multiplicity 4)
Pr: 0.212 0.500 0.000 (multiplicity 4)
Pr: 0.235 0.175 0.000 (multiplicity 8)
Cd: 0.000 0.500 0.500 (multiplicity 2)
Cd: 0.104 0.265 0.500 (multiplicity 8)
Cd: 0.140 0.073 0.500 (multiplicity 8)
Ag: 0.152 0.401 0.500 (multiplicity 8)

Entry 10:
This record from Alexandria via LeMat-Bulk describes crystalline Pr2Cd15Ag2 at its relaxed geometry. The functional is PBE-GGA.

Computed properties:
Calculated formation energy: -0.15 eV per atom

a = 10.0435 Å, b = 10.0435 Å, c = 14.9302 Å
α = 90.00°, β = 90.00°, γ = 120.00°
Space group R-3m (No. 166, hexagonal axes)
Symmetry-distinct sites (fractional):
Pr: 0.0000 0.0000 0.1675 (multiplicity 6)
Cd: 0.0000 0.2947 0.5000 (multiplicity 18)
Cd: 0.0000 0.5000 0.0000 (multiplicity 9)
Cd: 0.0104 0.5052 0.6471 (multiplicity 18)
Ag: 0.0000 0.0000 0.3972 (multiplicity 6)

Entry 11:
This record from Alexandria via LeMat-Bulk describes crystalline Pr3Cd2Ag4 at its relaxed geometry. The functional is PBE-GGA.

Computed properties:
Energy relative to the lowest polymorph listed for this composition: 0 meV/atom
Calculated formation energy: -0.29 eV per atom

a = 11.086 Å, b = 4.947 Å, c = 9.266 Å
α = 90.00°, β = 119.31°, γ = 90.00°
Space group C2/m (No. 12)
Symmetry-distinct sites (fractional):
Pr: 0.000 0.000 0.000 (multiplicity 2)
Pr: 0.161 0.500 0.676 (multiplicity 4)
Cd: 0.126 0.500 0.292 (multiplicity 4)
Ag: 0.063 0.000 0.397 (multiplicity 4)
Ag: 0.225 0.500 0.058 (multiplicity 4)

Entry 12:
This record from Alexandria via LeMat-Bulk describes crystalline Pr8CdAg2 at its relaxed geometry. The functional is PBE-GGA.

Computed properties:
Energy relative to the lowest polymorph listed for this composition: 0 meV/atom
Calculated formation energy: -0.12 eV per atom

a = 16.654 Å, b = 5.545 Å, c = 8.742 Å
α = 90.00°, β = 120.65°, γ = 90.00°
Space group C2/m (No. 12)
Symmetry-distinct sites (fractional):
Pr: 0.070 0.000 0.224 (multiplicity 4)
Pr: 0.097 0.500 0.956 (multiplicity 4)
Pr: 0.141 0.000 0.700 (multiplicity 4)
Pr: 0.183 0.500 0.458 (multiplicity 4)
Cd: 0.000 0.500 0.500 (multiplicity 2)
Ag: 0.227 0.000 0.121 (multiplicity 4)

Entry 13:
This record from Alexandria via LeMat-Bulk describes crystalline Pr2Cd5Ag at its relaxed geometry. The functional is PBE-GGA.

Computed properties:
Energy relative to the lowest polymorph listed for this composition: 53 meV/atom
Calculated formation energy: -0.18 eV per atom

a = 7.121 Å, b = 7.121 Å, c = 8.132 Å
α = 90.00°, β = 90.00°, γ = 90.00°
Space group I4mm (No. 107)
Symmetry-distinct sites (fractional):
Pr: 0.000 0.500 0.000 (multiplicity 4)
Cd: 0.000 0.000 0.428 (multiplicity 2)
Cd: 0.211 0.211 0.752 (multiplicity 8)
Ag: 0.000 0.000 0.057 (multiplicity 2)

Entry 14:
This record from Alexandria via LeMat-Bulk describes crystalline PrCd4Ag8 at its relaxed geometry. The functional is PBE-GGA.

Computed properties:
Calculated formation energy: -0.08 eV per atom

a = 9.732 Å, b = 9.732 Å, c = 5.679 Å
α = 90.00°, β = 90.00°, γ = 90.00°
Space group I4/mmm (No. 139)
Symmetry-distinct sites (fractional):
Pr: 0.000 0.000 0.000 (multiplicity 2)
Cd: 0.250 0.250 0.250 (multiplicity 8)
Ag: 0.000 0.213 0.500 (multiplicity 8)
Ag: 0.000 0.351 0.000 (multiplicity 8)

Entry 15:
This record from Alexandria via LeMat-Bulk describes crystalline Pr2Cd2Ag15 at its relaxed geometry. The functional is PBE-GGA.

Computed properties:
Calculated formation energy: -0.09 eV per atom

a = 9.7129 Å, b = 9.7129 Å, c = 14.3421 Å
α = 90.00°, β = 90.00°, γ = 120.00°
Space group R-3m (No. 166, hexagonal axes)
Symmetry-distinct sites (fractional):
Pr: 0.0000 0.0000 0.1504 (multiplicity 6)
Cd: 0.0000 0.0000 0.3962 (multiplicity 6)
Ag: 0.0000 0.3042 0.5000 (multiplicity 18)
Ag: 0.0000 0.5000 0.0000 (multiplicity 9)
Ag: 0.0060 0.5030 0.6516 (multiplicity 18)

Entry 16:
This record from Alexandria via LeMat-Bulk describes crystalline Pr2CdAg5 at its relaxed geometry. The functional is PBE-GGA.

Computed properties:
Calculated formation energy: -0.09 eV per atom

a = 6.905 Å, b = 6.905 Å, c = 7.910 Å
α = 90.00°, β = 90.00°, γ = 90.00°
Space group I4mm (No. 107)
Symmetry-distinct sites (fractional):
Pr: 0.000 0.500 0.000 (multiplicity 4)
Cd: 0.000 0.000 0.419 (multiplicity 2)
Ag: 0.000 0.000 0.047 (multiplicity 2)
Ag: 0.206 0.206 0.749 (multiplicity 8)

Entry 17:
This record from Alexandria via LeMat-Bulk describes crystalline Pr6CdAg at its relaxed geometry. The functional is PBE-GGA.

Computed properties:
Energy relative to the lowest polymorph listed for this composition: 84 meV/atom
Calculated formation energy: -0.04 eV per atom

a = 6.352 Å, b = 6.356 Å, c = 6.361 Å
α = 93.54°, β = 93.47°, γ = 93.65°
Space group P-1 (No. 2)
Symmetry-distinct sites (fractional):
Pr: 0.030 0.253 0.053 (multiplicity 2)
Pr: 0.246 0.948 0.468 (multiplicity 2)
Pr: 0.448 0.470 0.747 (multiplicity 2)
Cd: 0.500 0.000 0.000 (multiplicity 1)
Ag: 0.000 0.500 0.500 (multiplicity 1)

Entry 18:
This record from Alexandria via LeMat-Bulk describes crystalline PrCd3Ag2 at its relaxed geometry. The functional is PBE-GGA.

Computed properties:
Calculated formation energy: -0.19 eV per atom

a = 17.153 Å, b = 4.640 Å, c = 7.417 Å
α = 90.00°, β = 109.16°, γ = 90.00°
Space group C2/m (No. 12)
Symmetry-distinct sites (fractional):
Pr: 0.116 0.000 0.173 (multiplicity 4)
Cd: 0.070 0.000 0.680 (multiplicity 4)
Cd: 0.130 0.500 0.500 (multiplicity 4)
Cd: 0.195 0.500 0.924 (multiplicity 4)
Ag: 0.017 0.500 0.828 (multiplicity 4)
Ag: 0.237 0.000 0.658 (multiplicity 4)

Entry 19:
This record from Alexandria via LeMat-Bulk describes crystalline Pr3Cd7Ag2 at its relaxed geometry. The functional is PBE-GGA.

Computed properties:
Calculated formation energy: -0.25 eV per atom

a = 5.9545 Å, b = 5.9545 Å, c = 28.8255 Å
α = 90.00°, β = 90.00°, γ = 120.00°
Space group R-3m (No. 166, hexagonal axes)
Symmetry-distinct sites (fractional):
Pr: 0.0000 0.0000 0.0000 (multiplicity 3)
Pr: 0.0000 0.0000 0.1416 (multiplicity 6)
Cd: 0.0000 0.0000 0.5000 (multiplicity 3)
Cd: 0.0049 0.5024 0.9184 (multiplicity 18)
Ag: 0.0000 0.0000 0.3344 (multiplicity 6)

Entry 20:
This record from Alexandria via LeMat-Bulk describes crystalline PrCdAg at its relaxed geometry. The functional is PBE-GGA.

Computed properties:
Calculated formation energy: -0.15 eV per atom

a = 6.991 Å, b = 6.991 Å, c = 6.991 Å
α = 90.00°, β = 90.00°, γ = 90.00°
Space group F-43m (No. 216)
Symmetry-distinct sites (fractional):
Pr: 0.000 0.000 0.000 (multiplicity 4)
Cd: 0.000 0.000 0.500 (multiplicity 4)
Ag: 0.250 0.250 0.750 (multiplicity 4)

Entry 21:
This record from Alexandria via LeMat-Bulk describes crystalline PrCd12Ag6 at its relaxed geometry. The functional is PBE-GGA.

Computed properties:
Calculated formation energy: -0.02 eV per atom

a = 12.5738 Å, b = 12.5738 Å, c = 9.4735 Å
α = 90.00°, β = 90.00°, γ = 120.00°
Space group R-3m (No. 166, hexagonal axes)
Symmetry-distinct sites (fractional):
Pr: 0.0000 0.0000 0.0000 (multiplicity 3)
Cd: 0.0000 0.3871 0.5000 (multiplicity 18)
Cd: 0.0832 0.1664 0.2971 (multiplicity 18)
Ag: 0.0585 0.5292 0.2365 (multiplicity 18)

Size of the total moment values, unit μB/f.u., following the record order: 0.00; 0.44; 0.00; 0.00; 0.00; 0.00; 0.04; 0.00; 0.02; 0.00; 0.00; 0.00; 0.00; 0.00; 0.00; 0.00; 0.00; 0.00; 0.00; 0.00; 0.00.